First-principles (PBE) data for an optimized crystal structure of Dy2TmIn3Ag2Au, as listed in OQMD via LeMat-Bulk.

## Properties
Total energy = -3.9349 eV per atom
Space-group type = No. 38

Lattice parameters (Å, degrees): 3.908 7.826 7.826 119.89 90.00 90.00
Fractional coordinates of all 9 atoms:
1 Dy 0.000 0.199 0.801
2 Dy 0.000 0.801 0.199
3 Tm 0.000 0.596 0.596
4 In 0.500 0.199 0.466
5 In 0.500 0.466 0.199
6 In 0.500 0.933 0.933
7 Ag 0.500 0.533 0.864
8 Ag 0.500 0.864 0.533
9 Au 0.000 0.201 0.201


First-principles (PBE) data for an optimized crystal structure of DyMgAgAu, as listed in OQMD via LeMat-Bulk.

## Properties
Energy relative to the lowest polymorph listed for this composition = 0.000 eV per formula unit
Space-group type = No. 31

Lattice parameters (Å, degrees): 4.915 4.916 6.919 90.00 90.00 90.00
Fractional coordinates of all 8 atoms:
1 Dy 0.000 0.246 0.000
2 Dy 0.500 0.754 0.500
3 Mg 0.000 0.246 0.500
4 Mg 0.500 0.754 0.000
5 Ag 0.000 0.745 0.750
6 Ag 0.500 0.255 0.250
7 Au 0.000 0.745 0.250
8 Au 0.500 0.255 0.750


no.,total moment (μB/atom),density (g/cm³)
1,0.0005,10.01
2,0.0011,9.77